Record 1
Computed, not measured: a relaxed structure of VCrIr2N at the PBE level of DFT.

## Properties
total magnetic moment = 2.31 μB/cell
calculated density = 9.57 g/cm³
total DFT energy (no corrections) = -6.518 eV per atom
uncorrected formation energy = 235.43 kJ per mole of atoms

Cell lengths 4.498, 4.498, 4.300 Å; angles 90.00, 90.00, 90.00 degrees
Space group P4/mmm (No. 123)
Unique sites:
V  0.000  0.000  0.000 x1
Cr  0.000  0.000  0.500 x1
Ir  0.000  0.500  0.000 x2
N  0.500  0.500  0.500 x1

=====

Record 2
Computed, not measured: a relaxed structure of VCrIrN2 at the PBE level of DFT.

## Properties
total magnetic moment = 0.91 μB/cell
calculated density = 7.15 g/cm³
total DFT energy (no corrections) = -7.529 eV per atom
uncorrected formation energy = 127.53 kJ per mole of atoms

Cell lengths 3.761, 3.761, 5.308 Å; angles 90.00, 90.00, 90.00 degrees
Space group P4/mmm (No. 123)
Unique sites:
V  0.000  0.000  0.000 x1
Cr  0.500  0.500  0.000 x1
Ir  0.500  0.500  0.500 x1
N  0.000  0.500  0.500 x2

=====

Record 3
Computed, not measured: a relaxed structure of V2CrIrN at the PBE level of DFT.

## Properties
total magnetic moment = 0.66 μB/cell
calculated density = 10.17 g/cm³
total DFT energy (no corrections) = -9.611 eV per atom
uncorrected formation energy = -58.04 kJ per mole of atoms

Cell lengths 3.923, 3.923, 3.822 Å; angles 90.00, 90.00, 90.00 degrees
Space group P4/mmm (No. 123)
Unique sites:
V  0.000  0.500  0.000 x2
Cr  0.000  0.000  0.500 x1
Ir  0.500  0.500  0.500 x1
N  0.000  0.000  0.000 x1

=====

Record 4
Computed, not measured: a relaxed structure of CrIrW2N at the PBE level of DFT.

## Properties
total magnetic moment = 0.00 μB/cell
calculated density = 16.02 g/cm³
total DFT energy (no corrections) = -10.706 eV per atom
uncorrected formation energy = -15.68 kJ per mole of atoms

Cell lengths 4.091, 4.091, 3.876 Å; angles 90.00, 90.00, 90.00 degrees
Space group P4/mmm (No. 123)
Unique sites:
Cr  0.000  0.000  0.000 x1
Ir  0.500  0.500  0.000 x1
W  0.000  0.500  0.500 x2
N  0.000  0.000  0.500 x1

=====

Record 5
Computed, not measured: a relaxed structure of Cr2IrWN at the PBE level of DFT.

## Properties
total magnetic moment = 1.81 μB/cell
calculated density = 13.48 g/cm³
total DFT energy (no corrections) = -10.119 eV per atom
uncorrected formation energy = -23.34 kJ per mole of atoms

Cell lengths 3.873, 3.873, 4.056 Å; angles 90.00, 90.00, 90.00 degrees
Space group P4/mmm (No. 123)
Unique sites:
Cr  0.000  0.500  0.000 x2
Ir  0.000  0.000  0.500 x1
W  0.500  0.500  0.500 x1
N  0.500  0.500  0.000 x1

=====

Record 6
Computed, not measured: a relaxed structure of NaCr2Ir at the PBE level of DFT.

## Properties
total magnetic moment = 0.00 μB/cell
calculated density = 8.01 g/cm³
total DFT energy (no corrections) = -6.318 eV per atom
distance to the lowest polymorph of the same formula = 0.354 eV per atom

Cell lengths 7.076, 7.076, 5.288 Å; angles 90.00, 90.00, 90.00 degrees
Space group I-42d (No. 122)
Unique sites:
Na  0.000  0.000  0.000 x4
Cr  0.198  0.250  0.625 x8
Ir  0.000  0.000  0.500 x4

=====

Record 7
Computed, not measured: a relaxed structure of Na3CrIr at the PBE level of DFT.

## Properties
total magnetic moment = 6.09 μB/cell
calculated density = 3.48 g/cm³
total DFT energy (no corrections) = -2.906 eV per atom
distance to the lowest polymorph of the same formula = 0.388 eV per atom

Cell lengths 5.308, 5.308, 5.308 Å; angles 90.00, 90.00, 90.00 degrees
Space group Pm-3m (No. 221)
Unique sites:
Na  0.000  0.000  0.500 x3
Cr  0.000  0.000  0.000 x1
Ir  0.500  0.500  0.500 x1

=====

Record 8
Computed, not measured: a relaxed structure of NaCr2Ir at the PBE level of DFT.

## Properties
total magnetic moment = 24.12 μB/cell
calculated density = 8.60 g/cm³
total DFT energy (no corrections) = -6.672 eV per atom
distance to the lowest polymorph of the same formula = 0.000 eV per atom

Cell lengths 6.270, 6.270, 6.270 Å; angles 90.00, 90.00, 90.00 degrees
Space group Fm-3m (No. 225)
Unique sites:
Na  0.000  0.000  0.000 x4
Cr  0.250  0.250  0.250 x8
Ir  0.000  0.000  0.500 x4

=====

Record 9
Computed, not measured: a relaxed structure of NaCr3Ir at the PBE level of DFT.

## Properties
total magnetic moment = 10.79 μB/cell
calculated density = 5.38 g/cm³
total DFT energy (no corrections) = -6.792 eV per atom
distance to the lowest polymorph of the same formula = 0.000 eV per atom

Cell lengths 4.856, 4.856, 4.856 Å; angles 90.00, 90.00, 90.00 degrees
Space group Pm-3m (No. 221)
Unique sites:
Na  0.000  0.000  0.000 x1
Cr  0.000  0.500  0.500 x3
Ir  0.500  0.500  0.500 x1

=====

Record 10
Computed, not measured: a relaxed structure of Na2CrIr at the PBE level of DFT.

## Properties
total magnetic moment = 18.19 μB/cell
calculated density = 6.38 g/cm³
total DFT energy (no corrections) = -4.316 eV per atom
distance to the lowest polymorph of the same formula = 0.044 eV per atom

Cell lengths 6.709, 6.709, 6.709 Å; angles 90.00, 90.00, 90.00 degrees
Space group Fm-3m (No. 225)
Unique sites:
Na  0.250  0.250  0.250 x8
Cr  0.000  0.000  0.000 x4
Ir  0.000  0.000  0.500 x4

=====

Record 11
Computed, not measured: a relaxed structure of Na3CrIr at the PBE level of DFT.

## Properties
total magnetic moment = 5.99 μB/cell
calculated density = 3.26 g/cm³
total DFT energy (no corrections) = -3.293 eV per atom
distance to the lowest polymorph of the same formula = 0.000 eV per atom

Cell lengths 5.425, 5.425, 5.425 Å; angles 90.00, 90.00, 90.00 degrees
Space group Pm-3m (No. 221)
Unique sites:
Na  0.000  0.000  0.500 x3
Cr  0.500  0.500  0.500 x1
Ir  0.000  0.000  0.000 x1

=====

Record 12
Computed, not measured: a relaxed structure of NaCrIr2 at the PBE level of DFT.

## Properties
total magnetic moment = 5.29 μB/cell
calculated density = 13.28 g/cm³
total DFT energy (no corrections) = -6.733 eV per atom
distance to the lowest polymorph of the same formula = 0.000 eV per atom

Cell lengths 6.125, 6.125, 6.125 Å; angles 90.00, 90.00, 90.00 degrees
Space group Fm-3m (No. 225)
Unique sites:
Na  0.000  0.000  0.000 x4
Cr  0.000  0.000  0.500 x4
Ir  0.250  0.250  0.250 x8

=====

Which of these has the highest total magnetic moment? number 8